A relaxed ZrAs2Cl crystal, computed with PBE.

Summary:
Energy relative to the lowest polymorph listed for this composition, meV per atom: 10
Density of states at the Fermi level, states/eV/cell: 0.718
Raw formation energy, eV per atom: -0.723
Calculated total energy, eV per cell: -22.58
M_tot, μB per atom: 0.0000

Geometry as POSCAR:
```
ZrAs2Cl
1.0
4.982 -1.541 0.000
4.982 1.541 0.000
-1.233 0.000 7.651
Zr As Cl
1 2 1
Direct
0.000 0.000 0.000
0.265 0.265 0.909
0.410 0.410 0.686
0.601 0.601 0.246
```


A relaxed MgVRu2S crystal, computed with PBE.

Summary:
Density of states at the Fermi level, states/eV/cell: 9.254
Raw formation energy, eV per atom: 1.932
Calculated total energy, eV per cell: -23.73
M_tot, μB per atom: 0.4290

Geometry as POSCAR:
```
MgVRu2S
1.0
4.490 0.000 0.000
0.000 4.490 0.000
0.000 0.000 4.657
Mg V Ru S
1 1 2 1
Direct
0.000 0.000 0.000
0.000 0.000 0.500
0.000 0.500 0.000
0.500 0.000 0.000
0.500 0.500 0.500
```


Which formula does entry 2 have?
MgVRu2S


M_tot of number 2 (MgVRu2S)?
0.4290 μB per atom